Record 1
First-principles (GGA-PBE) data for crystalline CrHgW2 at its relaxed geometry, as listed in Alexandria via LeMat-Bulk.

formation energy from the elements	0.659	eV/atom
DOS(E_F)	2.4	states/eV/f.u.

Geometry as POSCAR:
```
CrHgW2
1.0
5.205 -0.001 0.001
2.245 4.696 -0.001
-3.259 -3.087 2.635
Cr Hg W
1 1 2
Cartesian
3.849 2.426 0.000 Cr
1.436 2.029 1.317 Hg
7.339 4.625 0.000 W
2.740 -0.430 1.318 W
```

---

Record 2
First-principles (GGA-PBE) data for crystalline CdGaAu14 at its relaxed geometry, as listed in Alexandria via LeMat-Bulk.

formation energy from the elements	-0.030	eV/atom
DOS(E_F)	5.5	states/eV/f.u.

Geometry as POSCAR:
```
CdGaAu14
1.0
5.765 0.085 0.000
-2.181 5.337 0.000
0.000 0.000 9.434
Cd Ga Au
1 1 14
Cartesian
-1.606 4.957 4.717 Cd
2.213 2.433 4.717 Ga
-0.719 4.371 0.000 Au
3.348 1.682 0.000 Au
-0.655 2.253 4.717 Au
0.463 1.731 0.000 Au
1.254 5.141 4.717 Au
2.173 4.317 0.000 Au
1.927 0.794 7.029 Au
1.927 0.794 2.404 Au
3.609 3.338 7.029 Au
3.609 3.338 2.404 Au
0.723 3.417 7.014 Au
0.723 3.417 2.420 Au
4.840 0.696 7.114 Au
4.840 0.696 2.319 Au
```

---

Record 3
First-principles (GGA-PBE) data for crystalline NdScZnPd at its relaxed geometry, as listed in Alexandria via LeMat-Bulk.

formation energy from the elements	-0.505	eV/atom
DOS(E_F)	3.8	states/eV/f.u.

Geometry as POSCAR:
```
NdScZnPd
1.0
-3.421 -3.389 1.202
-0.167 -1.830 4.611
-3.746 1.218 3.019
Sc Zn Nd Pd
1 1 1 1
Cartesian
-1.834 -1.000 2.208 Sc
0.000 0.000 0.000 Zn
-5.501 -3.001 6.624 Nd
-3.667 -2.001 4.416 Pd
```

---

Record 4
First-principles (GGA-PBE) data for crystalline LaTaRu at its relaxed geometry, as listed in Alexandria via LeMat-Bulk.

formation energy from the elements	1.331	eV/atom
relative energy among the computed polymorphs	148.8	kJ per mole of atoms
DOS(E_F)	4.1	states/eV/f.u.

Geometry as POSCAR:
```
LaTaRu
1.0
4.545 0.000 0.000
2.273 3.936 0.000
2.273 1.312 3.711
La Ru Ta
1 1 1
Cartesian
6.818 3.936 2.783 La
0.000 0.000 0.000 Ru
4.545 2.624 1.856 Ta
```

---

Record 5
First-principles (GGA-PBE) data for crystalline Hg2Se2O7 at its relaxed geometry, as listed in Alexandria via LeMat-Bulk.

relative energy among the computed polymorphs	1.6	kJ per mole of atoms

Geometry as POSCAR:
```
Hg2Se2O7
1.0
-4.270 -0.242 2.685
-0.202 -5.145 -3.213
4.152 -1.884 4.005
Hg Se O
2 2 7
Cartesian
0.746 -2.957 3.240 Hg
-1.065 -4.314 0.238 Hg
-3.013 -1.750 2.608 Se
2.694 -5.522 0.870 Se
1.117 -5.868 0.239 O
-2.773 -2.405 1.022 O
-1.436 -1.404 3.238 O
2.454 -4.866 2.456 O
0.000 0.000 0.000 O
-1.041 -4.410 2.621 O
0.722 -2.861 0.857 O
```

---

Record 6
First-principles (GGA-PBE) data for crystalline AsHPb3 at its relaxed geometry, as listed in Alexandria via LeMat-Bulk.

E_tot	-17.65	eV/cell
DOS(E_F)	2.6	states/eV/f.u.

Geometry as POSCAR:
```
AsHPb3
1.0
-0.650 -2.171 4.369
-4.205 -1.985 -1.612
2.473 -3.946 -1.593
Pb H As
3 1 1
Cartesian
-2.103 -0.992 -0.806 Pb
1.237 -1.973 -0.796 Pb
-0.325 -1.085 2.184 Pb
0.000 0.000 0.000 H
-1.191 -4.051 0.582 As
```

---

What did the second record say?
First-principles (GGA-PBE) data for crystalline CdGaAu14 at its relaxed geometry, as listed in Alexandria via LeMat-Bulk.

formation energy from the elements	-0.030	eV/atom
DOS(E_F)	5.5	states/eV/f.u.

Geometry as POSCAR:
```
CdGaAu14
1.0
5.765 0.085 0.000
-2.181 5.337 0.000
0.000 0.000 9.434
Cd Ga Au
1 1 14
Cartesian
-1.606 4.957 4.717 Cd
2.213 2.433 4.717 Ga
-0.719 4.371 0.000 Au
3.348 1.682 0.000 Au
-0.655 2.253 4.717 Au
0.463 1.731 0.000 Au
1.254 5.141 4.717 Au
2.173 4.317 0.000 Au
1.927 0.794 7.029 Au
1.927 0.794 2.404 Au
3.609 3.338 7.029 Au
3.609 3.338 2.404 Au
0.723 3.417 7.014 Au
0.723 3.417 2.420 Au
4.840 0.696 7.114 Au
4.840 0.696 2.319 Au
```